Entry 1:
Entry from Alexandria: crystalline ScCo2RuS at its relaxed geometry (PBE-GGA).

abc: 4.485 4.988 4.485
angles: 90.00 90.00 90.00
Last column: magnetic moment on the atom in μB.
Positions (direct):
Co 0.500 0.000 0.000  1.59
S 0.500 0.500 0.500  0.14
Co 0.000 0.000 0.500  2.22
Ru 0.000 0.000 0.000  0.55
Sc 0.000 0.500 0.000  -0.03

Calculated values
The calculation puts the uncorrected formation energy at 0.813 eV/atom. The density of states at the Fermi level is 4.40 states/eV per cell. The value obtained for the total energy is -5.976 eV per atom.


Entry 2:
Entry from Alexandria: crystalline ScCoRuS2 at its relaxed geometry (PBE-GGA).

abc: 4.606 4.330 4.606
angles: 90.00 90.00 90.00
Last column: magnetic moment on the atom in μB.
Positions (direct):
S 0.500 0.000 0.000  0.01
Co 0.000 0.500 0.000  0.28
Sc 0.500 0.500 0.500  -0.05
Ru 0.000 0.000 0.000  0.03
S 0.000 0.000 0.500  0.01

Calculated values
The calculation puts the uncorrected formation energy at 0.148 eV/atom. The density of states at the Fermi level is 4.61 states/eV per cell. The value obtained for the total energy is -6.046 eV per atom.


Entry 3:
Entry from Alexandria: crystalline CoRuSeS2 at its relaxed geometry (PBE-GGA).

abc: 4.906 4.313 4.906
angles: 90.00 90.00 90.00
Last column: magnetic moment on the atom in μB.
Positions (direct):
S 0.500 0.000 0.000  0.14
Se 0.000 0.000 0.000  0.00
Co 0.000 0.500 0.000  1.72
S 0.000 0.000 0.500  0.13
Ru 0.500 0.500 0.500  2.79

Calculated values
The calculation puts the uncorrected formation energy at 1.328 eV/atom. The density of states at the Fermi level is 6.08 states/eV per cell. The value obtained for the total energy is -4.296 eV per atom.